First-principles (PBE) data for an optimized crystal structure of CeDyTlTc, as listed in the Alexandria database.

a b c (Å): 7.2676 7.2676 7.2676
angles (deg): 90.00 90.00 90.00
Space group F-43m (No. 216)
Symmetry-distinct sites (fractional):
Ce 0.0000 0.0000 0.0000
Dy 0.0000 0.0000 0.5000
Tl 0.2500 0.2500 0.2500
Tc 0.2500 0.2500 0.7500

Calculated values
raw total energy = -93.26 eV/cell
E above lowest polymorph = 187 meV/atom
energy relative to the elements = -11 meV/atom